No. 1
Compound: Tm3Tl2Ni
Source: Alexandria
Functional: PBE-GGA
Structure: relaxed

a b c (Å): 7.6591 10.6528 7.8469
angles (deg): 90.00 99.73 90.00
Space group C2/m (No. 12)
Asymmetric unit:
1 Tm 0.1682 0.0000 0.1676
2 Tm 0.2234 0.1776 0.7796
3 Tl 0.0000 0.0000 0.5000
4 Tl 0.0000 0.3568 0.5000
5 Tl 0.0000 0.5000 0.0000
6 Ni 0.0000 0.2111 0.0000

## Properties
- total magnetic moment (μB per formula unit) = 0.00
- energy of formation (eV per atom) = -0.24

No. 2
Compound: Tm2TlNi
Source: Alexandria
Functional: PBE-GGA
Structure: relaxed

a b c (Å): 7.1333 7.1333 7.1333
angles (deg): 90.00 90.00 90.00
Space group Fm-3m (No. 225)
Asymmetric unit:
1 Tm 0.2500 0.2500 0.2500
2 Tl 0.0000 0.0000 0.0000
3 Ni 0.0000 0.0000 0.5000

## Properties
- total magnetic moment (μB per formula unit) = 0.00
- energy of formation (eV per atom) = -0.27
- relative energy among the computed polymorphs (meV per atom) = 116.7

No. 3
Compound: Tm6TlNi
Source: Alexandria
Functional: PBE-GGA
Structure: relaxed

a b c (Å): 6.8579 6.8677 7.1130
angles (deg): 90.11 118.67 119.92
Space group P-1 (No. 2)
Asymmetric unit:
1 Tm 0.0521 0.0806 0.2611
2 Tm 0.2893 0.7087 0.2608
3 Tm 0.3180 0.5276 0.7392
4 Tl 0.5000 0.0000 0.0000
5 Ni 0.5000 0.5000 0.5000

## Properties
- total magnetic moment (μB per formula unit) = 0.00
- energy of formation (eV per atom) = 0.03

No. 4
Compound: TmTlZnNi
Source: Alexandria
Functional: PBE-GGA
Structure: relaxed

a b c (Å): 6.6662 6.6662 6.6662
angles (deg): 90.00 90.00 90.00
Space group F-43m (No. 216)
Asymmetric unit:
1 Tm 0.0000 0.0000 0.0000
2 Tl 0.0000 0.0000 0.5000
3 Zn 0.2500 0.2500 0.2500
4 Ni 0.2500 0.2500 0.7500

## Properties
- total magnetic moment (μB per formula unit) = 0.00
- energy of formation (eV per atom) = -0.16

No. 5
Compound: Tl3VNi
Source: Alexandria
Functional: PBE-GGA
Structure: relaxed

a b c (Å): 5.0565 5.0565 5.0565
angles (deg): 90.00 90.00 90.00
Space group Pm-3m (No. 221)
Asymmetric unit:
1 Tl 0.0000 0.0000 0.5000
2 V 0.5000 0.5000 0.5000
3 Ni 0.0000 0.0000 0.0000

## Properties
- total magnetic moment (μB per formula unit) = 4.12
- energy of formation (eV per atom) = 0.69
- relative energy among the computed polymorphs (meV per atom) = 0.0

No. 6
Compound: Tl2VNi
Source: Alexandria
Functional: PBE-GGA
Structure: relaxed

a b c (Å): 7.4822 7.4822 5.9304
angles (deg): 90.00 90.00 90.00
Space group I-42d (No. 122)
Asymmetric unit:
1 Tl 0.2186 0.2500 0.1250
2 V 0.0000 0.0000 0.5000
3 Ni 0.0000 0.0000 0.0000

## Properties
- total magnetic moment (μB per formula unit) = 2.97
- energy of formation (eV per atom) = 0.68

No. 7
Compound: Tl3VNi
Source: Alexandria
Functional: PBE-GGA
Structure: relaxed

a b c (Å): 5.3598 5.3598 5.3598
angles (deg): 90.00 90.00 90.00
Space group Pm-3m (No. 221)
Asymmetric unit:
1 Tl 0.0000 0.0000 0.5000
2 V 0.0000 0.0000 0.0000
3 Ni 0.5000 0.5000 0.5000

## Properties
- total magnetic moment (μB per formula unit) = 4.51
- energy of formation (eV per atom) = 1.07
- relative energy among the computed polymorphs (meV per atom) = 379.5

No. 8
Compound: TlNi2W
Source: Alexandria
Functional: PBE-GGA
Structure: relaxed

a b c (Å): 2.9069 2.9069 25.7212
angles (deg): 90.00 90.00 120.00
Space group R-3m (No. 166, hexagonal axes)
Asymmetric unit:
1 Tl 0.0000 0.0000 0.0000
2 Ni 0.0000 0.0000 0.2441
3 W 0.0000 0.0000 0.5000

## Properties
- total magnetic moment (μB per formula unit) = 0.00
- energy of formation (eV per atom) = 0.47
- relative energy among the computed polymorphs (meV per atom) = 179.5

No. 9
Compound: TlNi2W
Source: Alexandria
Functional: PBE-GGA
Structure: relaxed

a b c (Å): 6.2359 6.2359 6.2359
angles (deg): 90.00 90.00 90.00
Space group F-43m (No. 216)
Asymmetric unit:
1 Tl 0.0000 0.0000 0.0000
2 Ni 0.0000 0.0000 0.5000
3 Ni 0.2500 0.2500 0.7500
4 W 0.2500 0.2500 0.2500

## Properties
- total magnetic moment (μB per formula unit) = 0.00
- energy of formation (eV per atom) = 0.71
- relative energy among the computed polymorphs (meV per atom) = 419.8

No. 10
Compound: TlNi2W
Source: Alexandria
Functional: PBE-GGA
Structure: relaxed

a b c (Å): 6.5299 6.5393 2.7975
angles (deg): 90.00 90.00 90.00
Space group Cmmm (No. 65)
Asymmetric unit:
1 Tl 0.0000 0.0000 0.0000
2 Ni 0.2500 0.2500 0.5000
3 W 0.0000 0.5000 0.0000

## Properties
- total magnetic moment (μB per formula unit) = 0.00
- energy of formation (eV per atom) = 0.49
- relative energy among the computed polymorphs (meV per atom) = 197.7

No. 11
Compound: TlNi2W
Source: Alexandria
Functional: PBE-GGA
Structure: relaxed

a b c (Å): 2.8157 4.5537 9.3687
angles (deg): 90.00 90.00 90.00
Space group Imm2 (No. 44)
Asymmetric unit:
1 Tl 0.0000 0.0000 0.0000
2 Ni 0.0000 0.0000 0.5162
3 Ni 0.0000 0.5000 0.2430
4 W 0.0000 0.5000 0.7798

## Properties
- total magnetic moment (μB per formula unit) = 0.00
- energy of formation (eV per atom) = 0.52
- relative energy among the computed polymorphs (meV per atom) = 225.8

No. 12
Compound: TlNi2W
Source: Alexandria
Functional: PBE-GGA
Structure: relaxed

a b c (Å): 3.0063 4.3237 4.7293
angles (deg): 90.00 90.00 90.00
Space group Pmmm (No. 47)
Asymmetric unit:
1 Tl 0.0000 0.0000 0.0000
2 Ni 0.0000 0.5000 0.5000
3 Ni 0.5000 0.5000 0.0000
4 W 0.5000 0.0000 0.5000

## Properties
- total magnetic moment (μB per formula unit) = 0.00
- energy of formation (eV per atom) = 0.71
- relative energy among the computed polymorphs (meV per atom) = 414.0